Entry w
DFT (GGA-PBE) results for crystalline Tc2Cl at its relaxed geometry.

Summary:
V   49.7 Å³/atom
Spin magnetization   6.89 μB per formula unit

Cell lengths 7.499, 7.499, 7.499 Å; angles 60.00, 60.00, 60.00 degrees
Sites, in units of the cell vectors:
Tc1 0.000 0.000 0.000
Tc2 0.000 0.000 0.500
Tc3 0.000 0.500 0.000
Tc4 0.500 0.000 0.000
Cl1 0.125 0.125 0.125
Cl2 0.875 0.875 0.875

=====

Entry x
DFT (GGA-PBE) results for crystalline Tc2Cl at its relaxed geometry.

Summary:
V   15.1 Å³/atom
Spin magnetization   0.02 μB per formula unit

Cell lengths 3.998, 3.998, 3.998 Å; angles 60.00, 60.00, 60.00 degrees
Sites, in units of the cell vectors:
Tc1 0.250 0.250 0.250
Tc2 0.750 0.750 0.750
Cl1 0.000 0.000 0.000

=====

Entry y
DFT (GGA-PBE) results for crystalline Tc2Cl at its relaxed geometry.

Summary:
V   16.9 Å³/atom
Spin magnetization   0.03 μB per formula unit

Cell lengths 5.235, 5.235, 5.235 Å; angles 60.00, 60.00, 60.00 degrees
Sites, in units of the cell vectors:
Tc1 0.000 0.000 0.000
Tc2 0.000 0.000 0.500
Tc3 0.000 0.500 0.000
Tc4 0.500 0.000 0.000
Cl1 0.375 0.375 0.375
Cl2 0.625 0.625 0.625

=====

The computed energies, referenced to the most stable structure and given in eV/atom, are entry w 1.411; entry x 0.151; entry y 0.000.